(1)
# PBE Rh2AuCSe, relaxed
# Raw total energy (eV per atom): -3.53
# V (Å³ per atom): 24.6
data_Rh2AuCSe
_cell_length_a 5.0825
_cell_length_b 5.0825
_cell_length_c 4.7654
_cell_angle_alpha 90.00
_cell_angle_beta 90.00
_cell_angle_gamma 90.00
_space_group_name_H-M_alt 'P 4/m m m'
_space_group_IT_number 123
_space_group_name_Hall '-P 4 2'
loop_
_atom_site_label
_atom_site_type_symbol
_atom_site_fract_x
_atom_site_fract_y
_atom_site_fract_z
_atom_site_occupancy
Rh1 Rh 0.0000 0.5000 0.0000 1
Au1 Au 0.0000 0.0000 0.0000 1
C1 C 0.5000 0.5000 0.5000 1
Se1 Se 0.0000 0.0000 0.5000 1

***

(2)
# PBE ZrRhAuC2, relaxed
# Formation energy (eV/atom): 1.28
# Raw total energy (eV per atom): -6.24
# V (Å³ per atom): 17.3
data_ZrRhAuC2
_cell_length_a 3.9320
_cell_length_b 3.9320
_cell_length_c 5.5868
_cell_angle_alpha 90.00
_cell_angle_beta 90.00
_cell_angle_gamma 90.00
_space_group_name_H-M_alt 'P 4/m m m'
_space_group_IT_number 123
_space_group_name_Hall '-P 4 2'
loop_
_atom_site_label
_atom_site_type_symbol
_atom_site_fract_x
_atom_site_fract_y
_atom_site_fract_z
_atom_site_occupancy
Zr1 Zr 0.0000 0.0000 0.0000 1
Rh1 Rh 0.0000 0.0000 0.5000 1
Au1 Au 0.5000 0.5000 0.0000 1
C1 C 0.0000 0.5000 0.5000 1

***

(3)
# PBE RuAu3C, relaxed
# Formation energy (eV/atom): 2.58
# Distance to the lowest polymorph of the same formula (meV/atom): 1501.2
# Raw total energy (eV per atom): -3.08
# V (Å³ per atom): 24.7
data_RuAu3C
_cell_length_a 4.9810
_cell_length_b 4.9810
_cell_length_c 4.9810
_cell_angle_alpha 90.00
_cell_angle_beta 90.00
_cell_angle_gamma 90.00
_space_group_name_H-M_alt 'P m -3 m'
_space_group_IT_number 221
_space_group_name_Hall '-P 4 2 3'
loop_
_atom_site_label
_atom_site_type_symbol
_atom_site_fract_x
_atom_site_fract_y
_atom_site_fract_z
_atom_site_occupancy
Ru1 Ru 0.0000 0.0000 0.0000 1
Au1 Au 0.0000 0.0000 0.5000 1
C1 C 0.5000 0.5000 0.5000 1

***

(4)
# PBE RuAu3C, relaxed
# Formation energy (eV/atom): 1.08
# Distance to the lowest polymorph of the same formula (meV/atom): 0.0
# Raw total energy (eV per atom): -4.58
# V (Å³ per atom): 16.0
data_RuAu3C
_cell_length_a 4.3047
_cell_length_b 4.3047
_cell_length_c 4.3047
_cell_angle_alpha 90.00
_cell_angle_beta 90.00
_cell_angle_gamma 90.00
_space_group_name_H-M_alt 'P m -3 m'
_space_group_IT_number 221
_space_group_name_Hall '-P 4 2 3'
loop_
_atom_site_label
_atom_site_type_symbol
_atom_site_fract_x
_atom_site_fract_y
_atom_site_fract_z
_atom_site_occupancy
Ru1 Ru 0.0000 0.0000 0.0000 1
Au1 Au 0.0000 0.5000 0.5000 1
C1 C 0.5000 0.5000 0.5000 1

***

Number 1: mass density 6.660 Mg/m³. Number 2: mass density 7.980 Mg/m³. Number 3: mass density 9.459 Mg/m³. Number 4: mass density 14.655 Mg/m³.